Material: LaZrTc3
Method: DFT, GGA-PBE
State: optimized geometry

Cell lengths 4.893, 4.893, 4.893 Å; angles 90.00, 90.00, 90.00 degrees
Element x y z (fractional)
La 0.000 0.000 0.000
Zr 0.500 0.500 0.500
Tc 0.000 0.500 0.500
Tc 0.500 0.000 0.500
Tc 0.500 0.500 0.000

The value obtained for the density of states at the Fermi level is 6.5 states/eV/f.u. As for the spin magnetization: 3.14 Bohr magnetons per cell. Its theoretical density is 7.428 g/cm3. The calculation puts the energy of formation from the pure elements at 1.153 eV per atom. Its excess energy over the best structure of this formula in the dataset is 0.000 eV/atom.